1.
The following is a GGA-PBE calculation of an optimized crystal structure of YAlSbO6, from Alexandria.

Total DFT energy (no corrections): -7.211 eV/atom
ΔE_f (raw): -2.314 eV/atom
Spin magnetization: 2.061 μB/cell

Lattice parameters (Å, degrees): 5.1621 5.1621 9.7242 90.00 90.00 120.00
Last column: nearest neighbours and their distance in Å.
Fractional coordinates of all 18 atoms:
O 0.6458 0.6339 0.1407  1 Al 1.93, 1 Sb 2.01
O 0.3661 0.0119 0.1407  1 Al 1.93, 1 Sb 2.01
O 0.9881 0.6339 0.3593  1 Al 1.93, 1 Sb 2.01
O 0.3542 0.9881 0.6407  1 Al 1.93, 1 Sb 2.01
O 0.6339 0.9881 0.8593  1 Al 1.93, 1 Sb 2.01
O 0.3542 0.3661 0.8593  1 Al 1.93, 1 Sb 2.01
O 0.6339 0.6458 0.6407  1 Al 1.93, 1 Sb 2.01
O 0.0119 0.6458 0.8593  1 Al 1.93, 1 Sb 2.01
O 0.3661 0.3542 0.3593  1 Al 1.93, 1 Sb 2.01
O 0.9881 0.3542 0.1407  1 Al 1.93, 1 Sb 2.01
O 0.6458 0.0119 0.3593  1 Al 1.93, 1 Sb 2.01
O 0.0119 0.3661 0.6407  1 Al 1.93, 1 Sb 2.01
Al 0.6667 0.3333 0.2500  6 O 1.93
Al 0.3333 0.6667 0.7500  6 O 1.93
Y 0.0000 0.0000 0.5000  6 O 2.31
Y 0.0000 0.0000 0.0000  6 O 2.31
Sb 0.3333 0.6667 0.2500  6 O 2.01
Sb 0.6667 0.3333 0.7500  6 O 2.01

=====

2.
The following is a GGA-PBE calculation of an optimized crystal structure of YAl2SbO8, from Alexandria.

Total DFT energy (no corrections): -6.856 eV/atom
ΔE_f (raw): -2.044 eV/atom
Spin magnetization: 2.048 μB/cell

Lattice parameters (Å, degrees): 5.7657 5.7657 5.7657 108.19 108.19 112.07
Last column: nearest neighbours and their distance in Å.
Fractional coordinates of all 12 atoms:
Al 0.5000 0.5000 0.0000  4 O 1.79
Al 0.7500 0.2500 0.5000  4 O 1.75
O 0.3745 0.0495 0.3250  1 Al 1.75
O 0.9505 0.6255 0.6750  1 Al 1.75
O 0.4808 0.6808 0.8000  1 Al 1.79
O 0.7244 0.0495 0.6750  1 Al 1.75
O 0.3192 0.5192 0.2000  1 Al 1.79
O 0.3192 0.1192 0.8000  1 Al 1.79
O 0.9505 0.2756 0.3250  1 Al 1.75
O 0.8808 0.6808 0.2000  1 Al 1.79
Y 0.0000 0.0000 0.0000  8 O 2.22-2.46
Sb 0.2500 0.7500 0.5000  8 O 2.08-2.26

=====

3.
The following is a GGA-PBE calculation of an optimized crystal structure of AlZnSbO6, from Alexandria.

Total DFT energy (no corrections): -5.766 eV/atom
ΔE_f (raw): -1.445 eV/atom
Spin magnetization: 2.034 μB/cell

Lattice parameters (Å, degrees): 4.3277 5.1505 5.1505 120.00 90.00 90.00
Last column: nearest neighbours and their distance in Å.
Fractional coordinates of all 9 atoms:
Al 0.5000 0.0000 0.0000  6 O 1.92
Zn 0.0000 0.3333 0.6667  6 O 2.13
O 0.7373 0.6901 0.6803  1 Al 1.92, 1 Sb 2.01, 1 Zn 2.13
O 0.2627 0.6901 0.0097  1 Al 1.92, 1 Sb 2.01, 1 Zn 2.13
O 0.7373 0.3197 0.0097  1 Al 1.92, 1 Sb 2.01, 1 Zn 2.13
O 0.7373 0.9903 0.3099  1 Al 1.92, 1 Sb 2.01, 1 Zn 2.13
O 0.2627 0.3197 0.3099  1 Al 1.92, 1 Sb 2.01, 1 Zn 2.13
O 0.2627 0.9903 0.6803  1 Al 1.92, 1 Sb 2.01, 1 Zn 2.13
Sb 0.5000 0.6667 0.3333  6 O 2.01

=====

4.
The following is a GGA-PBE calculation of an optimized crystal structure of ZrAlSbO6, from Alexandria.

Total DFT energy (no corrections): -7.582 eV/atom
ΔE_f (raw): -2.453 eV/atom
Spin magnetization: 0.000 μB/cell

Lattice parameters (Å, degrees): 4.7159 4.7159 9.3093 90.00 90.00 90.00
Last column: nearest neighbours and their distance in Å.
Fractional coordinates of all 18 atoms:
O 0.7952 0.2048 0.1739  1 Al 1.97, 1 Sb 2.02, 1 Zr 2.13
O 0.8166 0.1834 0.5048  1 Al 1.94, 1 Sb 2.01, 1 Zr 2.11
O 0.1834 0.8166 0.5048  1 Al 1.94, 1 Sb 2.01, 1 Zr 2.11
O 0.2952 0.2952 0.6739  1 Al 1.97, 1 Sb 2.02, 1 Zr 2.13
O 0.2048 0.7952 0.1739  1 Al 1.97, 1 Sb 2.02, 1 Zr 2.13
O 0.1965 0.8035 0.8223  1 Al 1.95, 1 Sb 2.03, 1 Zr 2.10
O 0.8035 0.1965 0.8223  1 Al 1.95, 1 Sb 2.03, 1 Zr 2.10
O 0.6834 0.6834 0.0048  1 Al 1.94, 1 Sb 2.01, 1 Zr 2.11
O 0.3035 0.3035 0.3223  1 Al 1.95, 1 Sb 2.03, 1 Zr 2.10
O 0.3166 0.3166 0.0048  1 Al 1.94, 1 Sb 2.01, 1 Zr 2.11
O 0.6965 0.6965 0.3223  1 Al 1.95, 1 Sb 2.03, 1 Zr 2.10
O 0.7048 0.7048 0.6739  1 Al 1.97, 1 Sb 2.02, 1 Zr 2.13
Sb 0.5000 0.5000 0.8332  6 O 2.01-2.03
Sb 0.0000 0.0000 0.3332  6 O 2.01-2.03
Zr 0.5000 0.5000 0.4982  6 O 2.10-2.13
Zr 0.0000 0.0000 0.9982  6 O 2.10-2.13
Al 0.5000 0.5000 0.1666  6 O 1.94-1.97
Al 0.0000 0.0000 0.6666  6 O 1.94-1.97

=====

5.
The following is a GGA-PBE calculation of an optimized crystal structure of ScAl2O2, from Alexandria.

Total DFT energy (no corrections): -5.271 eV/atom
ΔE_f (raw): -0.524 eV/atom
Spin magnetization: 0.332 μB/cell

Lattice parameters (Å, degrees): 7.5135 7.5135 2.6896 90.00 90.00 90.00
Last column: nearest neighbours and their distance in Å.
Fractional coordinates of all 10 atoms:
O 0.3931 0.1069 0.5000  4 Al 2.12, 1 O 2.27
O 0.6069 0.8931 0.5000  4 Al 2.12, 1 O 2.27
O 0.1069 0.6069 0.5000  4 Al 2.12, 1 O 2.27
O 0.8931 0.3931 0.5000  4 Al 2.12, 1 O 2.27
Sc 0.0000 0.0000 0.0000  2 Sc 2.69
Sc 0.5000 0.5000 0.0000  2 Sc 2.69
Al 0.8890 0.6110 0.0000  4 O 2.12, 1 Al 2.36
Al 0.6110 0.1110 0.0000  4 O 2.12, 1 Al 2.36
Al 0.3890 0.8890 0.0000  4 O 2.12, 1 Al 2.36
Al 0.1110 0.3890 0.0000  4 O 2.12, 1 Al 2.36

=====

6.
The following is a GGA-PBE calculation of an optimized crystal structure of ScAl2O2, from Alexandria.

Total DFT energy (no corrections): -6.592 eV/atom
ΔE_f (raw): -1.845 eV/atom
Spin magnetization: 0.000 μB/cell

Lattice parameters (Å, degrees): 5.9708 5.9708 3.7670 90.00 90.00 90.00
Last column: nearest neighbours and their distance in Å.
Fractional coordinates of all 10 atoms:
O 0.1916 0.6916 0.0000  2 Al 1.90
O 0.3084 0.1916 0.0000  2 Al 1.90
O 0.6916 0.8084 0.0000  2 Al 1.90
O 0.8084 0.3084 0.0000  2 Al 1.90
Al 0.3347 0.1653 0.5000  2 O 1.90
Al 0.1653 0.6653 0.5000  2 O 1.90
Al 0.6653 0.8347 0.5000  2 O 1.90
Al 0.8347 0.3347 0.5000  2 O 1.90
Sc 0.0000 0.0000 0.0000  4 O 2.17
Sc 0.5000 0.5000 0.0000  4 O 2.17